Here is a relaxed GaSO2F crystal from Alexandria via LeMat-Bulk. Energies are from PBE-GGA.

a = 3.516 Å, b = 3.516 Å, c = 6.030 Å
α = 90.00°, β = 90.00°, γ = 90.00°
Space group P4/mmm (No. 123)
Symmetry-distinct sites (fractional):
Ga 0.000 0.000 0.000 (multiplicity 1)
S 0.500 0.500 0.500 (multiplicity 1)
O 0.000 0.500 0.500 (multiplicity 2)
F 0.500 0.500 0.000 (multiplicity 1)

D(E_F) in states/eV/f.u.: 3.003
Magnetic moment in μB/cell: 0.00
Density in g/cm³: 3.4
Formation energy from raw total energies in kJ/mol of atoms: -46.0